VASP calculation (PBE-GGA) on an optimized crystal structure of LiTl2InBr6.

Values from the calculation:
Raw formation energy = -0.96 eV/atom
D(E_F) = 0.0 states/eV/f.u.

```
LiTl2InBr6
1.0
-2.109 -7.084 -1.351
1.585 0.965 -7.532
10.055 -3.349 1.686
Tl In Br Li
4 2 12 2
Direct
0.018 0.930 0.250
0.482 0.430 0.250
0.982 0.070 0.750
0.518 0.570 0.750
0.500 0.000 0.500
0.000 0.500 0.000
0.794 0.802 0.539
0.294 0.698 0.039
0.078 0.493 0.752
0.578 0.007 0.252
0.422 0.993 0.748
0.303 0.708 0.464
0.803 0.792 0.964
0.206 0.198 0.461
0.197 0.208 0.036
0.706 0.302 0.961
0.697 0.292 0.536
0.922 0.507 0.248
0.500 0.000 0.000
0.000 0.500 0.500
```